This record from Alexandria describes an optimized crystal structure of AcTbTh. The functional is PBE.

DOS at the Fermi energy: 8.6 states/eV per cell
E above lowest polymorph: 0 meV/atom
Total DFT energy (no corrections): -31.91 eV per cell
Symmetry: Pmmn (59)
ΔH_f (0 K): 0.068 eV/atom

abc: 3.726 5.024 11.593
angles: 90.00 90.00 90.00
Sites, in units of the cell vectors:
Ac: 0.250 0.250 0.101
Ac: 0.750 0.750 0.899
Tb: 0.250 0.250 0.723
Tb: 0.750 0.750 0.277
Th: 0.250 0.250 0.426
Th: 0.750 0.750 0.574

This record from Alexandria describes an optimized crystal structure of LaPr4Zn2. The functional is PBE.

DOS at the Fermi energy: 17.4 states/eV per cell
Total DFT energy (no corrections): -53.08 eV per cell
Symmetry: I-42d (122)
ΔH_f (0 K): 0.007 eV/atom

abc: 8.158 8.158 8.158
angles: 110.30 110.30 107.82
Sites, in units of the cell vectors:
La: 0.000 0.000 0.000
La: 0.750 0.250 0.500
Pr: 0.151 0.739 0.745
Pr: 0.157 0.244 0.755
Pr: 0.261 0.006 0.412
Pr: 0.489 0.401 0.245
Pr: 0.593 0.849 0.588
Pr: 0.599 0.843 0.088
Pr: 0.756 0.511 0.912
Pr: 0.994 0.407 0.255
Zn: 0.218 0.625 0.093
Zn: 0.375 0.468 0.593
Zn: 0.532 0.125 0.907
Zn: 0.875 0.782 0.407

This record from Alexandria describes an optimized crystal structure of ErTmAlPd. The functional is PBE.

DOS at the Fermi energy: 3.4 states/eV per cell
E above lowest polymorph: 35 meV/atom
Total DFT energy (no corrections): -20.39 eV per cell
Symmetry: F-43m (216)
ΔH_f (0 K): -0.606 eV/atom

abc: 4.999 4.999 4.999
angles: 60.00 60.00 60.00
Sites, in units of the cell vectors:
Er: 0.000 0.000 0.000
Tm: 0.500 0.500 0.500
Al: 0.250 0.250 0.250
Pd: 0.750 0.750 0.750

This record from Alexandria describes an optimized crystal structure of NiHg2Sb. The functional is PBE.

DOS at the Fermi energy: 1.6 states/eV per cell
Total DFT energy (no corrections): -10.26 eV per cell
Symmetry: Cm (8)

abc: 3.583 3.583 8.379
angles: 102.22 102.22 60.90
Sites, in units of the cell vectors:
Ni: 0.000 0.000 0.000
Hg: 0.262 0.262 0.783
Hg: 0.500 0.500 0.496
Sb: 0.722 0.722 0.175

This record from Alexandria describes an optimized crystal structure of PrYHo6. The functional is PBE.

DOS at the Fermi energy: 12.7 states/eV per cell
E above lowest polymorph: 54 meV/atom
Total DFT energy (no corrections): -37.09 eV per cell
Symmetry: P-1 (2)
ΔH_f (0 K): 0.202 eV/atom

abc: 6.536 6.551 7.527
angles: 115.27 115.50 90.07
Sites, in units of the cell vectors:
Pr: 0.000 0.000 0.000
Y: 0.500 0.000 0.000
Ho: 0.234 0.560 0.468
Ho: 0.252 0.500 0.000
Ho: 0.266 0.091 0.532
Ho: 0.734 0.909 0.468
Ho: 0.748 0.500 0.000
Ho: 0.766 0.440 0.532

This record from Alexandria describes an optimized crystal structure of NaCaHf2Cd. The functional is PBE.

DOS at the Fermi energy: 5.3 states/eV per cell
Total DFT energy (no corrections): -16.66 eV per cell
Symmetry: P4/mmm (123)
ΔH_f (0 K): 1.497 eV/atom

abc: 5.319 5.319 5.576
angles: 90.00 90.00 90.00
Sites, in units of the cell vectors:
Na: 0.000 0.000 0.000
Ca: 0.500 0.500 0.500
Hf: 0.000 0.500 0.500
Hf: 0.500 0.000 0.500
Cd: 0.500 0.500 0.000

This record from Alexandria describes an optimized crystal structure of TaP. The functional is PBE.

DOS at the Fermi energy: 3.3 states/eV per cell
Total DFT energy (no corrections): -34.10 eV per cell
Symmetry: P-3m1 (164)
ΔH_f (0 K): 0.106 eV/atom

abc: 2.914 2.914 10.580
angles: 90.00 90.00 120.00
Sites, in units of the cell vectors:
Ta: 0.333 0.667 0.119
Ta: 0.667 0.333 0.881
P: 0.333 0.667 0.685
P: 0.667 0.333 0.315

This record from Alexandria describes an optimized crystal structure of GdHoNiAg. The functional is PBE.

DOS at the Fermi energy: 3.1 states/eV per cell
Total DFT energy (no corrections): -28.48 eV per cell
Symmetry: F-43m (216)
ΔH_f (0 K): -0.296 eV/atom

abc: 4.989 4.989 4.989
angles: 60.00 60.00 60.00
Sites, in units of the cell vectors:
Gd: 0.000 0.000 0.000
Ho: 0.500 0.500 0.500
Ni: 0.250 0.250 0.250
Ag: 0.750 0.750 0.750

This record from Alexandria describes an optimized crystal structure of ScAlRh. The functional is PBE.

DOS at the Fermi energy: 2.8 states/eV per cell
Total DFT energy (no corrections): -17.40 eV per cell
Symmetry: F-43m (216)
ΔH_f (0 K): 0.008 eV/atom

abc: 4.408 4.408 4.408
angles: 60.00 60.00 60.00
Sites, in units of the cell vectors:
Sc: 0.000 0.000 0.000
Al: 0.750 0.750 0.750
Rh: 0.250 0.250 0.250

This record from Alexandria describes an optimized crystal structure of SrHg5Pd7. The functional is PBE.

DOS at the Fermi energy: 3.5 states/eV per cell
Total DFT energy (no corrections): -41.90 eV per cell
Symmetry: Imm2 (44)
ΔH_f (0 K): -0.181 eV/atom

abc: 7.225 7.225 7.225
angles: 131.54 98.31 101.09
Sites, in units of the cell vectors:
Sr: 0.000 0.000 0.000
Hg: 0.002 0.496 0.010
Hg: 0.002 0.992 0.506
Hg: 0.486 0.496 0.494
Hg: 0.486 0.992 0.990
Hg: 0.788 0.288 0.500
Pd: 0.210 0.710 0.500
Pd: 0.223 0.493 0.729
Pd: 0.346 0.346 0.000
Pd: 0.348 0.996 0.352
Pd: 0.644 0.996 0.648
Pd: 0.648 0.648 0.000
Pd: 0.764 0.493 0.271

This record from Alexandria describes an optimized crystal structure of BaAs2SeBr. The functional is PBE.

DOS at the Fermi energy: 6.8 states/eV per cell
E above lowest polymorph: 382 meV/atom
Total DFT energy (no corrections): -16.03 eV per cell
Symmetry: P4/mmm (123)

abc: 5.207 5.207 5.569
angles: 90.00 90.00 90.00
Sites, in units of the cell vectors:
Ba: 0.000 0.000 0.000
As: 0.000 0.500 0.500
As: 0.500 0.000 0.500
Se: 0.500 0.500 0.000
Br: 0.500 0.500 0.500

This record from Alexandria describes an optimized crystal structure of MnNbSn2. The functional is PBE.

DOS at the Fermi energy: 12.5 states/eV per cell
E above lowest polymorph: 521 meV/atom
Total DFT energy (no corrections): -49.19 eV per cell
Symmetry: I-42d (122)
ΔH_f (0 K): 0.662 eV/atom

abc: 10.214 10.214 10.214
angles: 157.09 157.09 32.62
Sites, in units of the cell vectors:
Mn: 0.000 0.000 0.000
Mn: 0.750 0.250 0.500
Nb: 0.250 0.750 0.500
Nb: 0.500 0.500 0.000
Sn: 0.118 0.625 0.993
Sn: 0.375 0.368 0.493
Sn: 0.632 0.125 0.007
Sn: 0.875 0.882 0.507

This record from Alexandria describes an optimized crystal structure of Th2CuRe. The functional is PBE.

DOS at the Fermi energy: 6.3 states/eV per cell
Total DFT energy (no corrections): -63.44 eV per cell
Symmetry: P2_1/m (11)
ΔH_f (0 K): -0.084 eV/atom

abc: 5.804 4.422 7.777
angles: 90.00 109.54 90.00
Sites, in units of the cell vectors:
Th: 0.221 0.250 0.438
Th: 0.229 0.250 0.927
Th: 0.771 0.750 0.073
Th: 0.779 0.750 0.562
Cu: 0.339 0.750 0.211
Cu: 0.661 0.250 0.789
Re: 0.343 0.750 0.717
Re: 0.657 0.250 0.283

This record from Alexandria describes an optimized crystal structure of CeP2Ru. The functional is PBE.

E above lowest polymorph: 0 meV/atom
Total DFT energy (no corrections): -30.24 eV per cell
Symmetry: R-3m (166)
ΔH_f (0 K): -1.054 eV/atom

abc: 5.773 5.773 5.773
angles: 39.50 39.50 39.50
Sites, in units of the cell vectors:
Ce: 0.000 0.000 0.000
P: 0.227 0.227 0.227
P: 0.773 0.773 0.773
Ru: 0.500 0.500 0.500

This record from Alexandria describes an optimized crystal structure of KMn2Au. The functional is PBE.

DOS at the Fermi energy: 3.3 states/eV per cell
E above lowest polymorph: 420 meV/atom
Total DFT energy (no corrections): -19.45 eV per cell
Symmetry: F-43m (216)
ΔH_f (0 K): 0.817 eV/atom

abc: 5.005 5.005 5.005
angles: 60.00 60.00 60.00
Sites, in units of the cell vectors:
K: 0.000 0.000 0.000
Mn: 0.250 0.250 0.250
Mn: 0.500 0.500 0.500
Au: 0.750 0.750 0.750

This record from Alexandria describes an optimized crystal structure of KInRu. The functional is PBE.

DOS at the Fermi energy: 2.3 states/eV per cell
E above lowest polymorph: 184 meV/atom
Total DFT energy (no corrections): -11.28 eV per cell
Symmetry: I4mm (107)
ΔH_f (0 K): 0.610 eV/atom

abc: 7.792 7.792 7.792
angles: 157.21 157.21 32.45
Sites, in units of the cell vectors:
K: 0.000 0.000 0.000
In: 0.297 0.297 0.000
Ru: 0.676 0.676 0.000

This record from Alexandria describes an optimized crystal structure of ScTl3Sb2Te6. The functional is PBE.

Total DFT energy (no corrections): -46.10 eV per cell
Symmetry: C2/m (12)

abc: 7.668 7.668 8.393
angles: 98.75 98.75 120.04
Sites, in units of the cell vectors:
Sc: 0.000 0.000 0.000
Tl: 0.169 0.831 0.500
Tl: 0.500 0.500 0.500
Tl: 0.831 0.169 0.500
Sb: 0.334 0.666 0.000
Sb: 0.666 0.334 0.000
Te: 0.070 0.391 0.209
Te: 0.252 0.252 0.791
Te: 0.391 0.070 0.209
Te: 0.609 0.930 0.791
Te: 0.748 0.748 0.209
Te: 0.930 0.609 0.791

This record from Alexandria describes an optimized crystal structure of SmGaF. The functional is PBE.

DOS at the Fermi energy: 3.2 states/eV per cell
E above lowest polymorph: 0 meV/atom
Total DFT energy (no corrections): -30.02 eV per cell
Symmetry: P4/nmm (129)

abc: 3.390 3.390 9.286
angles: 90.00 90.00 90.00
Sites, in units of the cell vectors:
Sm: 0.250 0.250 0.196
Sm: 0.750 0.750 0.804
Ga: 0.250 0.250 0.578
Ga: 0.750 0.750 0.422
F: 0.250 0.250 0.931
F: 0.750 0.750 0.069

This record from Alexandria describes an optimized crystal structure of LiNdDyMg. The functional is PBE.

DOS at the Fermi energy: 6.1 states/eV per cell
Total DFT energy (no corrections): -12.76 eV per cell
Symmetry: F-43m (216)
ΔH_f (0 K): 0.029 eV/atom

abc: 5.392 5.392 5.392
angles: 60.00 60.00 60.00
Sites, in units of the cell vectors:
Li: 0.000 0.000 0.000
Nd: 0.250 0.250 0.250
Dy: 0.750 0.750 0.750
Mg: 0.500 0.500 0.500

This record from Alexandria describes an optimized crystal structure of CuCl2. The functional is PBE.

DOS at the Fermi energy: 3.6 states/eV per cell
Total DFT energy (no corrections): -7.80 eV per cell
Symmetry: I4/mmm (139)

abc: 7.233 7.233 7.233
angles: 155.28 155.28 35.24
Sites, in units of the cell vectors:
Cu: 0.000 0.000 0.000
Cl: 0.390 0.390 0.000
Cl: 0.610 0.610 0.000